w | La2Ti2Re: relaxed, PBE.

a b c (Å): 8.5143 8.5143 3.1129
angles (deg): 90.00 90.00 90.00
Sites, in units of the cell vectors:
Ti: 0.3925 0.1075 0.5000
Ti: 0.8925 0.3925 0.5000
Ti: 0.1075 0.6075 0.5000
Ti: 0.6075 0.8925 0.5000
Re: 0.0000 0.0000 0.0000
Re: 0.5000 0.5000 0.0000
La: 0.7001 0.2001 0.0000
La: 0.2001 0.2999 0.0000
La: 0.7999 0.7001 0.0000
La: 0.2999 0.7999 0.0000

Values from the calculation:
SG = P4/mbm (127)



x | La2Ti2Re: relaxed, PBE.

a b c (Å): 3.5292 3.5292 10.3755
angles (deg): 80.21 80.21 90.00
Sites, in units of the cell vectors:
Re: 0.0000 0.0000 0.0000
La: 0.4123 0.4123 0.1753
La: 0.5877 0.5877 0.8247
Ti: 0.7500 0.2500 0.5000
Ti: 0.2500 0.7500 0.5000

Values from the calculation:
SG = I4/mmm (139)



Ranked by calculated energy, most stable first: x, w.